# 1
DFT (PBE-GGA) results for an optimized crystal structure of Ho2PuAsN5. Values from VASP.

The structure in Quantum ESPRESSO input format:
```
&SYSTEM
  ibrav = 0, nat = 18, ntyp = 4
/
ATOMIC_SPECIES
Ho 164.93 Ho.upf
Pu 244.00 Pu.upf
As 74.92 As.upf
N 14.01 N.upf
CELL_PARAMETERS angstrom
1.681 -7.000 0.000
1.681 7.000 0.000
0.000 0.000 10.200
ATOMIC_POSITIONS angstrom
Ho 1.681 5.367 5.100
Ho 1.681 5.145 0.835
Ho 1.681 -5.145 5.934
Ho 1.681 -5.367 0.000
Pu 1.681 4.015 8.154
Pu 1.681 -4.015 3.054
As 1.681 0.033 2.785
As 1.681 -0.033 7.885
N 1.681 6.368 8.674
N 1.681 2.941 4.540
N 1.681 2.797 1.609
N 1.681 1.744 8.359
N 1.681 0.064 6.059
N 1.681 -0.064 0.959
N 1.681 -1.744 3.259
N 1.681 -2.797 6.708
N 1.681 -2.941 9.640
N 1.681 -6.368 3.574
```

---

# 2
DFT (PBE-GGA) results for an optimized crystal structure of Rb3TbNb2O8. Values from VASP.

The structure in Quantum ESPRESSO input format:
```
&SYSTEM
  ibrav = 0, nat = 14, ntyp = 4
/
ATOMIC_SPECIES
Rb 85.47 Rb.upf
Tb 158.93 Tb.upf
Nb 92.91 Nb.upf
O 16.00 O.upf
CELL_PARAMETERS angstrom
6.296 0.000 0.000
-3.148 5.453 0.000
0.000 0.000 8.067
ATOMIC_POSITIONS angstrom
Rb 0.000 0.000 0.000
Rb 0.000 3.635 5.571
Rb 3.148 1.818 2.496
Tb 0.000 0.000 4.033
Nb 0.000 3.635 2.011
Nb 3.148 1.818 6.055
O 0.000 1.852 2.672
O -1.544 4.527 2.672
O 0.000 3.635 0.191
O 1.604 0.926 5.394
O 1.544 4.527 2.672
O 3.148 1.818 7.876
O 4.692 0.926 5.394
O 3.148 3.600 5.394
```

---

The records above give, respectively, total magnetic moment values of 7.3 0.0 Bohr magnetons per cell.
The records above give, respectively, final energy values of -8.598 -7.377 eV per atom.